Entry 1:
8
Lattice="3.8449 0.0000 0.0000 -1.9225 3.3298 0.0000 0.0000 0.0000 14.0890" Properties=species:S:1:pos:R:3 comment="PBE GdHoTeC, relaxed" space_group="P-3m1 (164)" pbc="T T T"
Gd 0.0000 2.2199 5.7032
Gd 1.9225 1.1099 8.3858
Ho 0.0000 2.2199 1.2952
Ho 1.9225 1.1099 12.7938
Te 0.0000 2.2199 10.6198
Te 1.9225 1.1099 3.4692
C 0.0000 0.0000 0.0000
C 0.0000 0.0000 7.0445

---

Entry 2:
8
Lattice="3.8614 0.0000 0.0000 -1.9307 3.3440 0.0000 0.0000 0.0000 14.1473" Properties=species:S:1:pos:R:3 comment="PBE Gd3HoTe2C2, relaxed" space_group="P3m1 (156)" pbc="T T T"
Gd 0.0000 0.0000 0.0000
Gd 0.0000 0.0000 4.4429
Gd 0.0000 2.2294 7.1206
Ho 0.0000 2.2294 11.5153
Te 0.0000 0.0000 9.3482
Te 0.0000 2.2294 2.2222
C 1.9307 1.1147 5.7836
C 1.9307 1.1147 12.8116

---

Entry 3:
8
Lattice="3.8454 0.0000 0.0000 -1.9227 3.3302 0.0000 0.0000 0.0000 14.0857" Properties=species:S:1:pos:R:3 comment="PBE GdHoTeC, relaxed" space_group="P-6m2 (187)" pbc="T T T"
Gd 0.0000 0.0000 2.2308
Gd 0.0000 0.0000 11.8549
Ho 0.0000 2.2202 4.8665
Ho 0.0000 2.2202 9.2192
Te 0.0000 0.0000 7.0429
Te 0.0000 2.2202 0.0000
C 1.9227 1.1101 3.5720
C 1.9227 1.1101 10.5137

---

Computed DFT total energy, in the same sequence as the records: -6.261, -6.262, -6.261 eV/atom.